Compound: SrCI2O
Source: Alexandria
Functional: GGA-PBE
Structure: relaxed

Output
For the distance to the lowest polymorph of the same formula, the calculation gives 0 meV/atom.

```
5
Lattice="5.596 0.000 0.000 0.000 5.596 0.000 0.000 0.000 3.706" Properties=species:S:1:pos:R:3 pbc="T T T"
I 0.000 2.798 0.000
I 2.798 0.000 0.000
O 0.000 0.000 1.853
C 0.000 0.000 0.000
Sr 2.798 2.798 1.853
```